Record 1
NaLiRh2: optimized geometry, GGA-PBE.

- E_form (kcal/mol of atoms) = 10.62
- symmetry = Fm-3m, No. 225
- final energy (eV/atom) = -4.023

Geometry as CIF:
```
data_NaLiRh2
_space_group_name_H-M_alt 'P 1'
_space_group_IT_number 1
_space_group_name_Hall 'P 1'
_cell_length_a 6.1956
_cell_length_b 6.1956
_cell_length_c 6.1956
_cell_angle_alpha 90.00
_cell_angle_beta 90.00
_cell_angle_gamma 90.00
loop_
_atom_site_label
_atom_site_type_symbol
_atom_site_fract_x
_atom_site_fract_y
_atom_site_fract_z
_atom_site_occupancy
Na1 Na 0.0000 0.0000 0.0000 1
Na2 Na 0.0000 0.5000 0.5000 1
Na3 Na 0.5000 0.0000 0.5000 1
Na4 Na 0.5000 0.5000 0.0000 1
Li1 Li 0.0000 0.0000 0.5000 1
Li2 Li 0.0000 0.5000 0.0000 1
Li3 Li 0.5000 0.0000 0.0000 1
Li4 Li 0.5000 0.5000 0.5000 1
Rh1 Rh 0.2500 0.2500 0.2500 1
Rh2 Rh 0.2500 0.2500 0.7500 1
Rh3 Rh 0.2500 0.7500 0.2500 1
Rh4 Rh 0.2500 0.7500 0.7500 1
Rh5 Rh 0.7500 0.2500 0.2500 1
Rh6 Rh 0.7500 0.2500 0.7500 1
Rh7 Rh 0.7500 0.7500 0.2500 1
Rh8 Rh 0.7500 0.7500 0.7500 1
```

---

Record 2
PmNdDyTm3: optimized geometry, GGA-PBE.

- E_form (kcal/mol of atoms) = 2.62
- symmetry = Cmcm, No. 63
- final energy (eV/atom) = -4.475

Geometry as CIF:
```
data_PmNdDyTm3
_space_group_name_H-M_alt 'P 1'
_space_group_IT_number 1
_space_group_name_Hall 'P 1'
_cell_length_a 6.3586
_cell_length_b 6.3586
_cell_length_c 11.6701
_cell_angle_alpha 90.00
_cell_angle_beta 90.00
_cell_angle_gamma 125.42
loop_
_atom_site_label
_atom_site_type_symbol
_atom_site_fract_x
_atom_site_fract_y
_atom_site_fract_z
_atom_site_occupancy
Pm1 Pm 0.0043 0.9957 0.7500 1
Pm2 Pm 0.9957 0.0043 0.2500 1
Nd1 Nd 0.5000 0.5000 0.0000 1
Nd2 Nd 0.5000 0.5000 0.5000 1
Dy1 Dy 0.3246 0.6754 0.7500 1
Dy2 Dy 0.6754 0.3246 0.2500 1
Tm1 Tm 0.1721 0.8279 0.0039 1
Tm2 Tm 0.1721 0.8279 0.4961 1
Tm3 Tm 0.3293 0.6707 0.2500 1
Tm4 Tm 0.6707 0.3293 0.7500 1
Tm5 Tm 0.8279 0.1721 0.5039 1
Tm6 Tm 0.8279 0.1721 0.9961 1
```

---

Record 3
PmNd5Y2Sc: optimized geometry, GGA-PBE.

- E_form (kcal/mol of atoms) = 2.86
- symmetry = Cmcm, No. 63
- final energy (eV/atom) = -5.193

Geometry as CIF:
```
data_PmNd5Y2Sc
_space_group_name_H-M_alt 'P 1'
_space_group_IT_number 1
_space_group_name_Hall 'P 1'
_cell_length_a 11.3561
_cell_length_b 11.3561
_cell_length_c 10.2720
_cell_angle_alpha 90.00
_cell_angle_beta 90.00
_cell_angle_gamma 152.46
loop_
_atom_site_label
_atom_site_type_symbol
_atom_site_fract_x
_atom_site_fract_y
_atom_site_fract_z
_atom_site_occupancy
Pm1 Pm 0.1010 0.8990 0.7500 1
Pm2 Pm 0.8990 0.1010 0.2500 1
Nd1 Nd 0.0000 0.0000 0.0000 1
Nd2 Nd 0.0000 0.0000 0.5000 1
Nd3 Nd 0.1253 0.8747 0.2500 1
Nd4 Nd 0.2216 0.7784 0.5630 1
Nd5 Nd 0.2216 0.7784 0.9370 1
Nd6 Nd 0.4985 0.5015 0.7500 1
Nd7 Nd 0.5015 0.4985 0.2500 1
Nd8 Nd 0.7784 0.2216 0.0630 1
Nd9 Nd 0.7784 0.2216 0.4370 1
Nd10 Nd 0.8747 0.1253 0.7500 1
Y1 Y 0.3835 0.6165 0.0004 1
Y2 Y 0.3835 0.6165 0.4996 1
Y3 Y 0.6165 0.3835 0.9996 1
Y4 Y 0.6165 0.3835 0.5004 1
Sc1 Sc 0.2836 0.7164 0.2500 1
Sc2 Sc 0.7164 0.2836 0.7500 1
```

---

Record 4
Na3Ce3CdO8: optimized geometry, GGA-PBE.

- symmetry = R-3m, No. 166
- final energy (eV/atom) = -6.607
- formation energy (no corrections) (kJ/mol of formula units) = -3547

Geometry as CIF:
```
data_Na3Ce3CdO8
_space_group_name_H-M_alt 'P 1'
_space_group_IT_number 1
_space_group_name_Hall 'P 1'
_cell_length_a 6.8842
_cell_length_b 6.8842
_cell_length_c 6.8842
_cell_angle_alpha 61.53
_cell_angle_beta 61.53
_cell_angle_gamma 61.53
loop_
_atom_site_label
_atom_site_type_symbol
_atom_site_fract_x
_atom_site_fract_y
_atom_site_fract_z
_atom_site_occupancy
Na1 Na 0.0000 0.5000 0.5000 1
Na2 Na 0.5000 0.0000 0.5000 1
Na3 Na 0.5000 0.5000 0.0000 1
Ce1 Ce 0.0000 0.0000 0.5000 1
Ce2 Ce 0.0000 0.5000 0.0000 1
Ce3 Ce 0.5000 0.0000 0.0000 1
Cd1 Cd 0.5000 0.5000 0.5000 1
O1 O 0.2244 0.7390 0.7390 1
O2 O 0.2393 0.2393 0.2393 1
O3 O 0.2610 0.2610 0.7756 1
O4 O 0.2610 0.7756 0.2610 1
O5 O 0.7390 0.2244 0.7390 1
O6 O 0.7390 0.7390 0.2244 1
O7 O 0.7607 0.7607 0.7607 1
O8 O 0.7756 0.2610 0.2610 1
```

---

Record 5
LaGaSe3: optimized geometry, GGA-PBE.

- symmetry = C2/m, No. 12
- final energy (eV/atom) = -4.936
- formation energy (no corrections) (kJ/mol of formula units) = -605

Geometry as CIF:
```
data_LaGaSe3
_space_group_name_H-M_alt 'P 1'
_space_group_IT_number 1
_space_group_name_Hall 'P 1'
_cell_length_a 7.9730
_cell_length_b 7.9730
_cell_length_c 4.5214
_cell_angle_alpha 90.89
_cell_angle_beta 90.89
_cell_angle_gamma 70.95
loop_
_atom_site_label
_atom_site_type_symbol
_atom_site_fract_x
_atom_site_fract_y
_atom_site_fract_z
_atom_site_occupancy
La1 La 0.2326 0.2326 0.2597 1
La2 La 0.7674 0.7674 0.7403 1
Ga1 Ga 0.3130 0.6870 0.5000 1
Ga2 Ga 0.6870 0.3130 0.5000 1
Se1 Se 0.0553 0.6596 0.2460 1
Se2 Se 0.3404 0.9447 0.7540 1
Se3 Se 0.3982 0.3982 0.7579 1
Se4 Se 0.6018 0.6018 0.2421 1
Se5 Se 0.6596 0.0553 0.2460 1
Se6 Se 0.9447 0.3404 0.7540 1
```

---

Record 6
KMgRu: optimized geometry, GGA-PBE.

- E_form (kcal/mol of atoms) = 16.72
- symmetry = P3m1, No. 156
- final energy (eV/atom) = -3.264

Geometry as CIF:
```
data_KMgRu
_space_group_name_H-M_alt 'P 1'
_space_group_IT_number 1
_space_group_name_Hall 'P 1'
_cell_length_a 3.0230
_cell_length_b 3.0230
_cell_length_c 8.2549
_cell_angle_alpha 90.00
_cell_angle_beta 90.00
_cell_angle_gamma 120.00
loop_
_atom_site_label
_atom_site_type_symbol
_atom_site_fract_x
_atom_site_fract_y
_atom_site_fract_z
_atom_site_occupancy
K1 K 0.0000 0.0000 0.0000 1
Mg1 Mg 0.6667 0.3333 0.4184 1
Ru1 Ru 0.3333 0.6667 0.6702 1
```

---

Record 7
PrDyMgHg: optimized geometry, GGA-PBE.

- E_form (kcal/mol of atoms) = -5.95
- symmetry = F-43m, No. 216
- final energy (eV/atom) = -3.077

Geometry as CIF:
```
data_PrDyMgHg
_space_group_name_H-M_alt 'P 1'
_space_group_IT_number 1
_space_group_name_Hall 'P 1'
_cell_length_a 7.6304
_cell_length_b 7.6304
_cell_length_c 7.6304
_cell_angle_alpha 90.00
_cell_angle_beta 90.00
_cell_angle_gamma 90.00
loop_
_atom_site_label
_atom_site_type_symbol
_atom_site_fract_x
_atom_site_fract_y
_atom_site_fract_z
_atom_site_occupancy
Pr1 Pr 0.0000 0.0000 0.0000 1
Pr2 Pr 0.0000 0.5000 0.5000 1
Pr3 Pr 0.5000 0.0000 0.5000 1
Pr4 Pr 0.5000 0.5000 0.0000 1
Dy1 Dy 0.0000 0.0000 0.5000 1
Dy2 Dy 0.0000 0.5000 0.0000 1
Dy3 Dy 0.5000 0.0000 0.0000 1
Dy4 Dy 0.5000 0.5000 0.5000 1
Mg1 Mg 0.2500 0.2500 0.7500 1
Mg2 Mg 0.2500 0.7500 0.2500 1
Mg3 Mg 0.7500 0.2500 0.2500 1
Mg4 Mg 0.7500 0.7500 0.7500 1
Hg1 Hg 0.2500 0.2500 0.2500 1
Hg2 Hg 0.2500 0.7500 0.7500 1
Hg3 Hg 0.7500 0.2500 0.7500 1
Hg4 Hg 0.7500 0.7500 0.2500 1
```

---

Record 8
Mg4CuPd2Au: optimized geometry, GGA-PBE.

- E_form (kcal/mol of atoms) = -12.45
- symmetry = R-3m, No. 166
- final energy (eV/atom) = -3.557

Geometry as CIF:
```
data_Mg4CuPd2Au
_space_group_name_H-M_alt 'P 1'
_space_group_IT_number 1
_space_group_name_Hall 'P 1'
_cell_length_a 7.8642
_cell_length_b 7.8642
_cell_length_c 7.8642
_cell_angle_alpha 33.59
_cell_angle_beta 33.59
_cell_angle_gamma 33.59
loop_
_atom_site_label
_atom_site_type_symbol
_atom_site_fract_x
_atom_site_fract_y
_atom_site_fract_z
_atom_site_occupancy
Mg1 Mg 0.1234 0.1234 0.1234 1
Mg2 Mg 0.3736 0.3736 0.3736 1
Mg3 Mg 0.6264 0.6264 0.6264 1
Mg4 Mg 0.8766 0.8766 0.8766 1
Cu1 Cu 0.0000 0.0000 0.0000 1
Pd1 Pd 0.2513 0.2513 0.2513 1
Pd2 Pd 0.7487 0.7487 0.7487 1
Au1 Au 0.5000 0.5000 0.5000 1
```

---

Record 9
LiYBe2: optimized geometry, GGA-PBE.

- E_form (kcal/mol of atoms) = 4.93
- symmetry = C2/m, No. 12
- final energy (eV/atom) = -3.744

Geometry as CIF:
```
data_LiYBe2
_space_group_name_H-M_alt 'P 1'
_space_group_IT_number 1
_space_group_name_Hall 'P 1'
_cell_length_a 6.9387
_cell_length_b 4.0040
_cell_length_c 5.2663
_cell_angle_alpha 90.00
_cell_angle_beta 114.59
_cell_angle_gamma 90.00
loop_
_atom_site_label
_atom_site_type_symbol
_atom_site_fract_x
_atom_site_fract_y
_atom_site_fract_z
_atom_site_occupancy
Li1 Li 0.0000 0.0000 0.0000 1
Li2 Li 0.5000 0.5000 0.0000 1
Y1 Y 0.0000 0.5000 0.5000 1
Y2 Y 0.5000 0.0000 0.5000 1
Be1 Be 0.1955 0.5000 0.0830 1
Be2 Be 0.3045 0.0000 0.9170 1
Be3 Be 0.6955 0.0000 0.0830 1
Be4 Be 0.8045 0.5000 0.9170 1
```

---

Record 10
BiH2Cl2: optimized geometry, GGA-PBE.

- symmetry = C2/m, No. 12
- final energy (eV/atom) = -3.172

Geometry as CIF:
```
data_BiH2Cl2
_space_group_name_H-M_alt 'P 1'
_space_group_IT_number 1
_space_group_name_Hall 'P 1'
_cell_length_a 7.0112
_cell_length_b 7.0112
_cell_length_c 6.4539
_cell_angle_alpha 107.84
_cell_angle_beta 107.84
_cell_angle_gamma 103.40
loop_
_atom_site_label
_atom_site_type_symbol
_atom_site_fract_x
_atom_site_fract_y
_atom_site_fract_z
_atom_site_occupancy
Bi1 Bi 0.1772 0.8228 0.0000 1
Bi2 Bi 0.8228 0.1772 0.0000 1
H1 H 0.3193 0.3193 0.3346 1
H2 H 0.3321 0.3321 0.2267 1
H3 H 0.6679 0.6679 0.7733 1
H4 H 0.6807 0.6807 0.6654 1
Cl1 Cl 0.0884 0.4332 0.7675 1
Cl2 Cl 0.4332 0.0884 0.7675 1
Cl3 Cl 0.5668 0.9116 0.2325 1
Cl4 Cl 0.9116 0.5668 0.2325 1
```